(1)
The following is a GGA-PBE calculation of a relaxed structure of Rb4PrNb3O12, from Alexandria.

a = 8.531 Å, b = 8.531 Å, c = 8.531 Å
α = 90.00°, β = 90.00°, γ = 90.00°
Space group Im-3m (No. 229)
Unique sites:
Rb (0.250, 0.250, 0.250) x8
Pr (0.000, 0.000, 0.000) x2
Nb (0.000, 0.000, 0.500) x6
O (0.000, 0.000, 0.274) x12
O (0.000, 0.250, 0.500) x12

=====

(2)
The following is a GGA-PBE calculation of a relaxed structure of LaMnCd2, from Alexandria.

a = 3.461 Å, b = 3.461 Å, c = 7.857 Å
α = 90.00°, β = 90.00°, γ = 90.00°
Space group P4/mmm (No. 123)
Unique sites:
La (0.000, 0.000, 0.000) x1
Mn (0.000, 0.000, 0.500) x1
Cd (0.500, 0.500, 0.304) x2

ΔH_f (0 K) ... 0.01 eV/atom

=====

(3)
The following is a GGA-PBE calculation of a relaxed structure of AcTl3In2, from Alexandria.

a = 16.219 Å, b = 6.887 Å, c = 6.812 Å
α = 90.00°, β = 102.56°, γ = 90.00°
Space group C2/c (No. 15)
Unique sites:
Ac (0.000, 0.238, 0.250) x4
Tl (0.000, 0.262, 0.750) x4
Tl (0.172, 0.005, 0.583) x8
In (0.159, 0.500, 0.083) x8

ΔH_f (0 K) ... -0.15 eV/atom

=====

(4)
The following is a GGA-PBE calculation of a relaxed structure of LiTi2Tc, from Alexandria.

a = 4.346 Å, b = 4.346 Å, c = 3.174 Å
α = 90.00°, β = 90.00°, γ = 90.00°
Space group P4/mmm (No. 123)
Unique sites:
Li (0.000, 0.000, 0.000) x1
Ti (0.000, 0.500, 0.500) x2
Tc (0.500, 0.500, 0.000) x1

ΔH_f (0 K) ... -0.09 eV/atom

=====

Computed values of E_tot (unit: eV per atom) for the preceding records, in sequence: -7.128 -3.970 -2.930 -7.108.
Computed values of volume (unit: Å³/cell) for the preceding records, in sequence: 620.9 94.1 742.7 59.9.